# 1
# KCrCCl2

A relaxed structure of KCrCCl2 (GGA-PBE, Alexandria).

```
KCrCCl2
1.0
4.8813 0.0000 0.0000
0.0000 4.8813 0.0000
0.0000 0.0000 5.1880
K Cr C Cl
1 1 1 2
Direct
0.0000 0.0000 0.0000
0.5000 0.5000 0.0000
0.0000 0.0000 0.5000
0.0000 0.5000 0.5000
0.5000 0.0000 0.5000
```

Output
Calculated density, g/cm³: 2.3
Raw total energy, eV per cell: -17.9
N(E_F), states/eV/f.u.: 1.944
ΔE_f (raw), eV per atom: 1.138
Space group: P4/mmm (123)
Size of the total moment, μB/atom: 1.367

# 2
# VTe2SI

A relaxed structure of VTe2SI (GGA-PBE, Alexandria).

```
VTe2SI
1.0
5.2136 0.0000 0.0000
0.0000 5.2136 0.0000
0.0000 0.0000 5.4683
V Te S I
1 2 1 1
Direct
0.0000 0.0000 0.0000
0.0000 0.5000 0.5000
0.5000 0.0000 0.5000
0.5000 0.5000 0.5000
0.5000 0.5000 0.0000
```

Output
Calculated density, g/cm³: 5.2
Raw total energy, eV per cell: -16.0
Excess energy over the best structure of this formula in the dataset, meV/atom: 533.9
N(E_F), states/eV/f.u.: 8.215
ΔE_f (raw), eV per atom: 1.010
Space group: P4/mmm (123)
Size of the total moment, μB/atom: 0.043

> Among the records above, which one has the highest size of the total moment?

KCrCCl2